Record 1
Material: Al2NiP
Method: DFT, PBE
State: optimized geometry

Properties
ΔH_f (0 K), eV per formula unit: -0.388
ρ, g/cm3: 4.238

Lattice parameters (Å, degrees): 4.250 4.250 4.509 76.45 76.45 45.61
Fractional coordinates of all 4 atoms:
Al (0.003, 0.003, 0.985)
Al (0.497, 0.497, 0.515)
P (0.250, 0.250, 0.250)
Ni (0.750, 0.750, 0.750)

***

Record 2
Material: AlNiP
Method: DFT, PBE
State: optimized geometry

Properties
ΔH_f (0 K), eV per formula unit: -1.502
ρ, g/cm3: 4.694

Lattice parameters (Å, degrees): 3.879 3.879 3.879 60.00 60.00 60.00
Fractional coordinates of all 3 atoms:
Al (0.500, 0.500, 0.500)
P (0.000, 0.000, 0.000)
Ni (0.750, 0.750, 0.750)